# 1
Compound: MgTaSe
Source: the Alexandria database
Functional: SCAN
Structure: single point on PBEsol structure

abc: 3.2364 3.2364 6.3580
angles: 90.00 90.00 120.00
Fractional positions:
Mg 0.0000 0.0000 0.0000
Ta 0.6667 0.3333 0.3643
Se 0.3333 0.6667 0.6392

Summary:
- formation energy from raw total energies (meV per atom) = -268
- M_tot (Bohr magnetons per cell) = 0.0
- raw total energy (eV/atom) = -30.814
- energy relative to the lowest polymorph listed for this composition (eV/atom) = 0.000
- crystal system = trigonal

---

# 2
Compound: MgTa4Se
Source: the Alexandria database
Functional: SCAN
Structure: single point on PBEsol structure

abc: 5.4892 5.4892 5.4892
angles: 60.00 60.00 60.00
Fractional positions:
Mg 0.0000 0.0000 0.0000
Ta 0.1182 0.6273 0.6273
Ta 0.6273 0.1182 0.6273
Ta 0.6273 0.6273 0.1182
Ta 0.6273 0.6273 0.6273
Se 0.2500 0.2500 0.2500

Summary:
- formation energy from raw total energies (meV per atom) = 563
- M_tot (Bohr magnetons per cell) = 0.0
- raw total energy (eV/atom) = -48.001
- crystal system = cubic

---

# 3
Compound: Mg3TaSe
Source: the Alexandria database
Functional: SCAN
Structure: single point on PBEsol structure

abc: 5.3422 5.3422 5.3422
angles: 90.00 90.00 90.00
Fractional positions:
Mg 0.0000 0.0000 0.5000
Mg 0.0000 0.5000 0.0000
Mg 0.5000 0.0000 0.0000
Ta 0.0000 0.0000 0.0000
Se 0.5000 0.5000 0.5000

Summary:
- formation energy from raw total energies (meV per atom) = 1359
- M_tot (Bohr magnetons per cell) = 3.3
- raw total energy (eV/atom) = -18.957
- crystal system = cubic

---

# 4
Compound: MgTaSe3
Source: the Alexandria database
Functional: SCAN
Structure: single point on PBEsol structure

abc: 4.7980 4.7980 4.7980
angles: 90.00 90.00 90.00
Fractional positions:
Mg 0.0000 0.0000 0.0000
Ta 0.5000 0.5000 0.5000
Se 0.0000 0.0000 0.5000
Se 0.0000 0.5000 0.0000
Se 0.5000 0.0000 0.0000

Summary:
- formation energy from raw total energies (meV per atom) = 608
- M_tot (Bohr magnetons per cell) = 1.3
- raw total energy (eV/atom) = -25.750
- crystal system = cubic

---

# 5
Compound: MgTaSe
Source: the Alexandria database
Functional: SCAN
Structure: single point on PBEsol structure

abc: 3.2657 3.2657 10.5529
angles: 90.00 90.00 90.00
Fractional positions:
Mg 0.0000 0.0000 0.0000
Mg 0.5000 0.5000 0.5000
Ta 0.0000 0.0000 0.6877
Ta 0.5000 0.5000 0.1877
Se 0.0000 0.0000 0.3015
Se 0.5000 0.5000 0.8015

Summary:
- formation energy from raw total energies (meV per atom) = -209
- M_tot (Bohr magnetons per cell) = 0.0
- raw total energy (eV/atom) = -30.754
- energy relative to the lowest polymorph listed for this composition (eV/atom) = 0.059
- crystal system = tetragonal

---

# 6
Compound: MgTcSe
Source: the Alexandria database
Functional: SCAN
Structure: single point on PBEsol structure

abc: 3.1554 3.1554 6.1645
angles: 90.00 90.00 120.00
Fractional positions:
Mg 0.0000 0.0000 0.0000
Tc 0.3333 0.6667 0.3431
Se 0.6667 0.3333 0.6003

Summary:
- formation energy from raw total energies (meV per atom) = -162
- M_tot (Bohr magnetons per cell) = 0.0
- raw total energy (eV/atom) = -20.199
- crystal system = trigonal

---

# 7
Compound: MgTcSe2
Source: the Alexandria database
Functional: SCAN
Structure: single point on PBEsol structure

abc: 3.2553 3.2553 24.8913
angles: 90.00 90.00 120.00
Fractional positions:
Mg 0.0000 0.0000 0.0000
Mg 0.3333 0.6667 0.6667
Mg 0.6667 0.3333 0.3333
Tc 0.0000 0.0000 0.5000
Tc 0.3333 0.6667 0.1667
Tc 0.6667 0.3333 0.8333
Se 0.0000 0.0000 0.4059
Se 0.0000 0.0000 0.5941
Se 0.3333 0.6667 0.0725
Se 0.3333 0.6667 0.2608
Se 0.6667 0.3333 0.7392
Se 0.6667 0.3333 0.9275

Summary:
- formation energy from raw total energies (meV per atom) = 161
- M_tot (Bohr magnetons per cell) = 0.0
- raw total energy (eV/atom) = -19.886
- crystal system = trigonal

---

# 8
Compound: MgTcSe2
Source: the Alexandria database
Functional: SCAN
Structure: single point on PBEsol structure

abc: 3.1554 3.1554 6.7346
angles: 90.00 90.00 90.00
Fractional positions:
Mg 0.0000 0.0000 0.0000
Tc 0.0000 0.0000 0.5000
Se 0.5000 0.5000 0.2770
Se 0.5000 0.5000 0.7230

Summary:
- formation energy from raw total energies (meV per atom) = -81
- M_tot (Bohr magnetons per cell) = 0.0
- raw total energy (eV/atom) = -20.128
- crystal system = tetragonal

---

# 9
Compound: Mg3TeSe
Source: the Alexandria database
Functional: SCAN
Structure: single point on PBEsol structure

abc: 5.1335 5.1335 5.1335
angles: 90.00 90.00 90.00
Fractional positions:
Mg 0.0000 0.0000 0.5000
Mg 0.0000 0.5000 0.0000
Mg 0.5000 0.0000 0.0000
Te 0.5000 0.5000 0.5000
Se 0.0000 0.0000 0.0000

Summary:
- formation energy from raw total energies (meV per atom) = -244
- M_tot (Bohr magnetons per cell) = 0.0
- raw total energy (eV/atom) = -14.694
- crystal system = cubic

---

# 10
Compound: MgTe2Se
Source: the Alexandria database
Functional: SCAN
Structure: single point on PBEsol structure

abc: 7.2553 7.2553 7.2553
angles: 90.00 90.00 90.00
Fractional positions:
Mg 0.0000 0.0000 0.0000
Mg 0.0000 0.5000 0.5000
Mg 0.5000 0.0000 0.5000
Mg 0.5000 0.5000 0.0000
Te 0.2500 0.2500 0.2500
Te 0.2500 0.2500 0.7500
Te 0.2500 0.7500 0.2500
Te 0.2500 0.7500 0.7500
Te 0.7500 0.2500 0.2500
Te 0.7500 0.2500 0.7500
Te 0.7500 0.7500 0.2500
Te 0.7500 0.7500 0.7500
Se 0.0000 0.0000 0.5000
Se 0.0000 0.5000 0.0000
Se 0.5000 0.0000 0.0000
Se 0.5000 0.5000 0.5000

Summary:
- formation energy from raw total energies (meV per atom) = 162
- M_tot (Bohr magnetons per cell) = 0.0
- raw total energy (eV/atom) = -24.727
- crystal system = cubic

---

# 11
Compound: MgTi3Se
Source: the Alexandria database
Functional: SCAN
Structure: single point on PBEsol structure

abc: 4.6683 4.6683 4.6683
angles: 90.00 90.00 90.00
Fractional positions:
Mg 0.0000 0.0000 0.0000
Ti 0.0000 0.5000 0.5000
Ti 0.5000 0.0000 0.5000
Ti 0.5000 0.5000 0.0000
Se 0.5000 0.5000 0.5000

Summary:
- formation energy from raw total energies (meV per atom) = -24
- M_tot (Bohr magnetons per cell) = 0.2
- raw total energy (eV/atom) = -14.653
- crystal system = cubic

---

# 12
Compound: Mg3TiSe
Source: the Alexandria database
Functional: SCAN
Structure: single point on PBEsol structure

abc: 4.9983 4.9983 4.9983
angles: 90.00 90.00 90.00
Fractional positions:
Mg 0.0000 0.0000 0.5000
Mg 0.0000 0.5000 0.0000
Mg 0.5000 0.0000 0.0000
Ti 0.5000 0.5000 0.5000
Se 0.0000 0.0000 0.0000

Summary:
- formation energy from raw total energies (meV per atom) = 264
- M_tot (Bohr magnetons per cell) = 3.0
- raw total energy (eV/atom) = -9.941
- crystal system = cubic

---

Repeat the fifth record exactly.
Compound: MgTaSe
Source: the Alexandria database
Functional: SCAN
Structure: single point on PBEsol structure

abc: 3.2657 3.2657 10.5529
angles: 90.00 90.00 90.00
Fractional positions:
Mg 0.0000 0.0000 0.0000
Mg 0.5000 0.5000 0.5000
Ta 0.0000 0.0000 0.6877
Ta 0.5000 0.5000 0.1877
Se 0.0000 0.0000 0.3015
Se 0.5000 0.5000 0.8015

Summary:
- formation energy from raw total energies (meV per atom) = -209
- M_tot (Bohr magnetons per cell) = 0.0
- raw total energy (eV/atom) = -30.754
- energy relative to the lowest polymorph listed for this composition (eV/atom) = 0.059
- crystal system = tetragonal

---

> M_tot of number 12 (Mg3TiSe)?

3.0 Bohr magnetons per cell